First-principles (PBE) data for a relaxed SmMgC crystal, as listed in Alexandria via LeMat-Bulk.

Unit cell a=3.698 b=3.722 c=8.722 alpha=90.11 beta=90.04 gamma=90.07
Space group P-1 (No. 2)
Unique sites:
Sm1 0.250 0.249 0.358 (multiplicity 2)
Mg1 0.250 0.251 0.895 (multiplicity 2)
C1 0.249 0.251 0.645 (multiplicity 2)

As for the density of states at the Fermi level: 0.573 states/eV/atom. The total magnetization is 0.000 μB/atom. The total DFT energy (no corrections) is -0.3809 Ry per atom. Its energy relative to the elements is 0.00 eV/atom.